Entry from Alexandria: LiCa3Pb12 after structural relaxation (PBE).

Formation enthalpy at 0 K = -4.2 eV per formula unit
Total magnetic moment = 0.0 μB/cell
Theoretical density = 9.095 g cm⁻³

Lattice parameters (Å, degrees): 4.9265 4.9265 19.6597 90.00 90.00 90.00
Fractional positions:
Li  0.0000  0.0000  0.0000
Ca  0.0000  0.0000  0.2497
Ca  0.0000  0.0000  0.5000
Ca  0.0000  0.0000  0.7503
Pb  0.0000  0.5000  0.1190
Pb  0.0000  0.5000  0.3738
Pb  0.0000  0.5000  0.6262
Pb  0.0000  0.5000  0.8810
Pb  0.5000  0.0000  0.1190
Pb  0.5000  0.0000  0.3738
Pb  0.5000  0.0000  0.6262
Pb  0.5000  0.0000  0.8810
Pb  0.5000  0.5000  0.0000
Pb  0.5000  0.5000  0.2459
Pb  0.5000  0.5000  0.5000
Pb  0.5000  0.5000  0.7541

Entry from Alexandria: Li2Ca4Pb5 after structural relaxation (PBE).

Formation enthalpy at 0 K = -4.4 eV per formula unit
Total magnetic moment = 0.0 μB/cell
Theoretical density = 6.346 g cm⁻³

Lattice parameters (Å, degrees): 11.5855 11.5855 11.5855 128.05 62.01 148.52
Fractional positions:
Li  0.0516  0.2500  0.8016
Li  0.4484  0.2500  0.1984
Li  0.5516  0.7500  0.8016
Li  0.9484  0.7500  0.1984
Ca  0.0607  0.2456  0.3064
Ca  0.1392  0.6080  0.7471
Ca  0.3608  0.1080  0.4688
Ca  0.4393  0.7456  0.1849
Ca  0.5607  0.2544  0.8151
Ca  0.6392  0.8920  0.5312
Ca  0.8608  0.3920  0.2529
Ca  0.9393  0.7544  0.6936
Pb  0.0770  0.9258  0.0028
Pb  0.2242  0.2918  0.5160
Pb  0.2500  0.7500  0.5000
Pb  0.2758  0.7918  0.0676
Pb  0.4230  0.4258  0.8487
Pb  0.5770  0.5742  0.1513
Pb  0.7242  0.2082  0.9324
Pb  0.7500  0.2500  0.5000
Pb  0.7758  0.7082  0.4840
Pb  0.9230  0.0742  0.9972

Entry from Alexandria: Li3CaPb2 after structural relaxation (PBE).

Formation enthalpy at 0 K = -2.2 eV per formula unit
Total magnetic moment = 0.0 μB/cell
Theoretical density = 5.595 g cm⁻³

Lattice parameters (Å, degrees): 7.5956 7.5956 9.2148 117.14 117.14 37.26
Fractional positions:
Li  0.0470  0.0470  0.3780
Li  0.2640  0.2640  0.4392
Li  0.4064  0.4064  0.3233
Li  0.5936  0.5936  0.6767
Li  0.7360  0.7360  0.5608
Li  0.9530  0.9530  0.6220
Ca  0.1396  0.1396  0.0225
Ca  0.8604  0.8604  0.9775
Pb  0.2038  0.2038  0.7220
Pb  0.4453  0.4453  0.7996
Pb  0.5547  0.5547  0.2004
Pb  0.7962  0.7962  0.2780

Entry from Alexandria: LiCaPb4 after structural relaxation (PBE).

Formation enthalpy at 0 K = -0.7 eV per formula unit
Total magnetic moment = 0.0 μB/cell
Theoretical density = 7.444 g cm⁻³
E above lowest polymorph = 82.4 meV/atom

Lattice parameters (Å, degrees): 6.5132 6.5132 6.5132 60.00 60.00 60.00
Fractional positions:
Li  0.0000  0.0000  0.0000
Ca  0.2500  0.2500  0.2500
Pb  0.1274  0.6242  0.6242
Pb  0.6242  0.1274  0.6242
Pb  0.6242  0.6242  0.1274
Pb  0.6242  0.6242  0.6242

Entry from Alexandria: LiCa2Pb after structural relaxation (PBE).

Formation enthalpy at 0 K = -0.2 eV per formula unit
Total magnetic moment = 0.0 μB/cell
Theoretical density = 3.794 g cm⁻³

Lattice parameters (Å, degrees): 7.0131 7.0131 7.0131 104.12 104.12 120.80
Fractional positions:
Li  0.0000  0.0000  0.0000
Li  0.7500  0.2500  0.5000
Ca  0.1263  0.1250  0.5013
Ca  0.3750  0.8737  0.9987
Ca  0.6237  0.6250  0.4987
Ca  0.8750  0.3763  0.0013
Pb  0.2500  0.7500  0.5000
Pb  0.5000  0.5000  0.0000

Entry from Alexandria: LiCa2Pb after structural relaxation (PBE).

Formation enthalpy at 0 K = -1.1 eV per formula unit
Total magnetic moment = 0.0 μB/cell
Theoretical density = 4.054 g cm⁻³

Lattice parameters (Å, degrees): 6.6074 6.6074 6.6074 145.69 131.54 60.72
Fractional positions:
Li  0.0000  0.0000  0.0000
Ca  0.4385  0.4385  0.0000
Ca  0.7237  0.2237  0.5000
Pb  0.1882  0.6882  0.5000

Entry from Alexandria: LiCaPb2 after structural relaxation (PBE).

Formation enthalpy at 0 K = -0.9 eV per formula unit
Total magnetic moment = 0.0 μB/cell
Theoretical density = 6.768 g cm⁻³

Lattice parameters (Å, degrees): 10.1896 10.1896 10.1896 20.47 20.47 20.47
Fractional positions:
Li  0.0000  0.0000  0.0000
Ca  0.5000  0.5000  0.5000
Pb  0.2565  0.2565  0.2565
Pb  0.7435  0.7435  0.7435

Entry from Alexandria: LiCa2Pb after structural relaxation (PBE).

Formation enthalpy at 0 K = -1.2 eV per formula unit
Total magnetic moment = 0.0 μB/cell
Theoretical density = 4.050 g cm⁻³

Lattice parameters (Å, degrees): 3.9153 3.9494 7.8033 90.00 90.00 90.00
Fractional positions:
Li  0.0000  0.0000  0.0000
Ca  0.5000  0.5000  0.2536
Ca  0.5000  0.5000  0.7464
Pb  0.0000  0.0000  0.5000

Entry from Alexandria: Li2Ca2Pb after structural relaxation (PBE).

Formation enthalpy at 0 K = -1.2 eV per formula unit
Total magnetic moment = 0.0 μB/cell
Theoretical density = 3.723 g cm⁻³
E above lowest polymorph = 5.2 meV/atom

Lattice parameters (Å, degrees): 7.3450 7.3450 4.9813 90.00 90.00 90.00
Fractional positions:
Li  0.1282  0.3718  0.0000
Li  0.3718  0.8718  0.0000
Li  0.6282  0.1282  0.0000
Li  0.8718  0.6282  0.0000
Ca  0.1950  0.6950  0.5000
Ca  0.3050  0.1950  0.5000
Ca  0.6950  0.8050  0.5000
Ca  0.8050  0.3050  0.5000
Pb  0.0000  0.0000  0.0000
Pb  0.5000  0.5000  0.0000

Entry from Alexandria: LiCa2Pb after structural relaxation (PBE).

Formation enthalpy at 0 K = -1.1 eV per formula unit
Total magnetic moment = 0.0 μB/cell
Theoretical density = 4.049 g cm⁻³

Lattice parameters (Å, degrees): 6.4665 6.4665 5.5965 108.29 108.29 33.08
Fractional positions:
Li  0.0000  0.0000  0.0000
Ca  0.2303  0.2303  0.7905
Ca  0.4395  0.4395  0.4498
Pb  0.6900  0.6900  0.2643

Entry from Alexandria: Li2Ca2Pb after structural relaxation (PBE).

Formation enthalpy at 0 K = -0.1 eV per formula unit
Total magnetic moment = 0.0 μB/cell
Theoretical density = 3.283 g cm⁻³
E above lowest polymorph = 228.1 meV/atom

Lattice parameters (Å, degrees): 8.6869 8.6869 4.0386 90.00 90.00 90.00
Fractional positions:
Li  0.1410  0.3590  0.0000
Li  0.3590  0.8590  0.0000
Li  0.6410  0.1410  0.0000
Li  0.8590  0.6410  0.0000
Ca  0.1540  0.6540  0.5000
Ca  0.3460  0.1540  0.5000
Ca  0.6540  0.8460  0.5000
Ca  0.8460  0.3460  0.5000
Pb  0.0000  0.0000  0.5000
Pb  0.5000  0.5000  0.5000

Entry from Alexandria: LiCa2Pb4 after structural relaxation (PBE).

Formation enthalpy at 0 K = -1.0 eV per formula unit
Total magnetic moment = 0.0 μB/cell
Theoretical density = 6.990 g cm⁻³

Lattice parameters (Å, degrees): 8.9601 8.9601 8.9601 146.56 146.56 48.02
Fractional positions:
Li  0.0000  0.0000  0.0000
Ca  0.3597  0.3597  0.0000
Ca  0.6403  0.6403  0.0000
Pb  0.0000  0.5000  0.5000
Pb  0.1644  0.1644  0.0000
Pb  0.5000  0.0000  0.5000
Pb  0.8356  0.8356  0.0000